## CsH2BrF (PBE)

Data for a relaxed CsH2BrF crystal.

The total magnetization is 0.00 μB per cell. As for the electronic total energy: -3.193 eV/atom.

The structure belongs to space group P1 (No. 1); the cell edges are 4.4210, 4.5357 and 5.8553 Å and the angles 74.32°, 87.24° and 89.29°. The distinct sites, in fractional coordinates, are Cs at (0.0000, 0.0000, 0.0000), H at (0.0262, 0.6309, 0.6130), H at (0.4825, 0.4478, 0.3489), Br at (0.5260, 0.6331, 0.6154) and F at (0.4666, 0.3972, 0.1945).

---

## CoAgBr2 (PBE)

Data for a relaxed CoAgBr2 crystal.

The total magnetization is 2.05 μB per cell. As for the electronic total energy: -3.060 eV/atom.

The structure belongs to space group Pmmm (No. 47); the cell edges are 3.6854, 3.9366 and 6.7764 Å and the angles 90.00°, 90.00° and 90.00°. The distinct sites, in fractional coordinates, are Co at (0.0000, 0.0000, 0.0000), Ag at (0.0000, 0.5000, 0.5000), Br at (0.5000, 0.0000, 0.5000) and Br at (0.5000, 0.5000, 0.0000).

---

## Dy6Er12Th (PBE)

Data for a relaxed Dy6Er12Th crystal.

The total magnetization is 0.01 μB per cell. The value obtained for the formation energy is 0.151 eV per atom. As for the electronic total energy: -4.575 eV/atom.

The structure belongs to space group R-3 (No. 148, hexagonal axes); the cell edges are 11.8167, 11.8167 and 15.0088 Å and the angles 90.00°, 90.00° and 120.00°. The distinct sites, in fractional coordinates, are Dy at (0.0097, 0.4224, 0.1767), Er at (0.0236, 0.8418, 0.6898), Er at (0.0416, 0.8537, 0.9148) and Th at (0.0000, 0.0000, 0.5000).

---

## CaMnSn2 (PBE)

Data for a relaxed CaMnSn2 crystal.

The total magnetization is 17.23 μB per cell. The value obtained for the formation energy is 0.077 eV per atom. As for the electronic total energy: -4.718 eV/atom.

The structure belongs to space group I-42d (No. 122); the cell edges are 5.1047, 5.1047 and 18.3968 Å and the angles 90.00°, 90.00° and 90.00°. The distinct sites, in fractional coordinates, are Ca at (0.0000, 0.0000, 0.0000), Mn at (0.0000, 0.0000, 0.5000) and Sn at (0.1578, 0.2500, 0.6250).

---

## CeFe4B4 (PBE)

Data for a relaxed CeFe4B4 crystal.

The total magnetization is 0.00 μB per cell. The value obtained for the formation energy is -0.492 eV per atom. As for the electronic total energy: -7.880 eV/atom.

The structure belongs to space group P4_2/n (No. 86, origin choice 2); the cell edges are 6.9894, 6.9894 and 3.8087 Å and the angles 90.00°, 90.00° and 90.00°. The distinct sites, in fractional coordinates, are Ce at (0.2500, 0.2500, 0.2500), Fe at (0.1193, 0.6350, 0.1462) and B at (0.0465, 0.9145, 0.1458).

---

## AcPdRuO6 (PBE)

Data for a relaxed AcPdRuO6 crystal.

The total magnetization is 6.02 μB per cell. As for the electronic total energy: -6.834 eV/atom.

The structure belongs to space group P-31c (No. 163); the cell edges are 5.2950, 5.2950 and 10.7217 Å and the angles 90.00°, 90.00° and 120.00°. The distinct sites, in fractional coordinates, are Ac at (0.0000, 0.0000, 0.0000), Pd at (0.3333, 0.6667, 0.2500), Ru at (0.3333, 0.6667, 0.7500) and O at (0.0077, 0.3740, 0.6474).

---

## LaNdGa2Ir2 (PBE)

Data for a relaxed LaNdGa2Ir2 crystal.

The total magnetization is 0.00 μB per cell. The value obtained for the formation energy is -0.746 eV per atom. As for the electronic total energy: -6.324 eV/atom.

The structure belongs to space group P-3m1 (No. 164); the cell edges are 4.3958, 4.3958 and 7.8604 Å and the angles 90.00°, 90.00° and 120.00°. The distinct sites, in fractional coordinates, are La at (0.0000, 0.0000, 0.0000), Nd at (0.0000, 0.0000, 0.5000), Ga at (0.3333, 0.6667, 0.2582) and Ir at (0.3333, 0.6667, 0.7453).

---

## Sm12Zn2Hg5 (PBE)

Data for a relaxed Sm12Zn2Hg5 crystal.

The total magnetization is 0.00 μB per cell. The value obtained for the formation energy is -0.182 eV per atom. As for the electronic total energy: -3.376 eV/atom.

The structure belongs to space group C2/m (No. 12); the cell edges are 17.1941, 7.2477 and 9.0095 Å and the angles 90.00°, 95.77° and 90.00°. The distinct sites, in fractional coordinates, are Sm at (0.0019, 0.0000, 0.1951), Sm at (0.0348, 0.5000, 0.6850), Sm at (0.1515, 0.2497, 0.0153), Sm at (0.1596, 0.2541, 0.4316), Zn at (0.0000, 0.1670, 0.5000), Hg at (0.0000, 0.5000, 0.0000), Hg at (0.2037, 0.0000, 0.7397) and Hg at (0.2280, 0.5000, 0.7510).